Na2In2Bi2Pb | PBE | relaxed

Unit cell a=5.4750 b=5.4750 c=8.6140 alpha=71.47 beta=71.47 gamma=60.00
Closest atoms and distances in Å follow each position.
Fractional positions:
Bi1 0.7274 0.7274 0.8178  1 Na 3.26, 3 In 3.28, 3 Pb 3.48
Bi2 0.2726 0.2726 0.1822  1 Na 3.26, 3 In 3.28, 3 Pb 3.48
In1 0.5697 0.5697 0.2910  3 Bi 3.28, 3 Na 3.30, 1 In 3.35
In2 0.4303 0.4303 0.7090  3 Bi 3.28, 3 Na 3.30, 1 In 3.35
Na1 0.1371 0.1371 0.5887  1 Bi 3.26, 1 Pb 3.30, 3 In 3.30, 3 Na 3.47
Na2 0.8629 0.8629 0.4113  1 Bi 3.26, 1 Pb 3.30, 3 In 3.30, 3 Na 3.47
Pb1 0.0000 0.0000 0.0000  2 Na 3.30, 6 Bi 3.48

Results
Magnetization   0.00 μB/f.u.
Symmetry   R-3m (166)
Energy of formation   -87 meV/atom
D(E_F)   0.600 states/eV per atom